Record 1
DFT (SCAN) results for a PBEsol-optimized structure of In2Hg.

Cell and atoms, written as POSCAR:
```
In2Hg
1.0
3.885 0.000 0.000
0.000 5.240 0.000
-1.943 0.000 7.234
Hg In
2 4
Cartesian
0.000 1.310 6.113
1.943 3.930 1.121
0.000 1.310 1.241
1.943 3.930 5.993
1.943 1.310 3.770
0.000 3.930 3.464
```

ΔH_f (0 K)	0.051	eV per atom
distance to the lowest polymorph of the same formula	54	meV per atom
V	147.3	Å³ per cell
total magnetic moment	0.00	μB per cell

***

Record 2
DFT (SCAN) results for a PBEsol-optimized structure of SrTlAu.

Cell and atoms, written as POSCAR:
```
SrTlAu
1.0
-3.059 0.962 2.093
1.463 -3.058 3.545
1.488 4.675 0.025
Sr Tl Au
1 1 1
Cartesian
1.471 -0.481 2.372
-0.050 2.578 2.245
-1.530 0.481 1.046
```

ΔH_f (0 K)	-0.694	eV per atom
V	79.8	Å³ per cell
total magnetic moment	0.00	μB per cell

***

Record 3
DFT (SCAN) results for a PBEsol-optimized structure of ZrCdOs2.

Cell and atoms, written as POSCAR:
```
ZrCdOs2
1.0
-2.736 0.637 0.110
-0.749 -2.810 -2.362
-0.753 -4.125 5.146
Cd Os Zr
1 2 1
Cartesian
-0.959 -4.609 2.816
-1.403 0.128 0.292
-0.530 -2.257 -0.118
-1.722 -1.623 2.477
```

ΔH_f (0 K)	0.066	eV per atom
V	69.9	Å³ per cell
total magnetic moment	0.00	μB per cell

***

Record 4
DFT (SCAN) results for a PBEsol-optimized structure of Mg2TlFe.

Cell and atoms, written as POSCAR:
```
Mg2TlFe
1.0
4.123 0.000 0.000
0.000 4.051 0.000
-2.062 -2.026 4.271
Fe Mg Tl
1 2 1
Cartesian
0.000 2.026 2.137
0.000 0.000 0.016
2.062 0.000 2.133
0.000 0.000 4.256
```

ΔH_f (0 K)	0.135	eV per atom
distance to the lowest polymorph of the same formula	0	meV per atom
V	71.3	Å³ per cell
total magnetic moment	2.01	μB per cell

***

Record 5
DFT (SCAN) results for a PBEsol-optimized structure of BeTlCu2.

Cell and atoms, written as POSCAR:
```
BeTlCu2
1.0
2.950 0.000 0.000
0.000 2.950 0.000
0.000 0.000 6.282
Be Cu Tl
1 2 1
Cartesian
1.475 1.475 3.141
0.000 0.000 4.322
0.000 0.000 1.960
1.475 1.475 0.000
```

ΔH_f (0 K)	0.219	eV per atom
distance to the lowest polymorph of the same formula	0	meV per atom
V	54.7	Å³ per cell
total magnetic moment	0.00	μB per cell

***

Record 6
DFT (SCAN) results for a PBEsol-optimized structure of Nb3P6WO24.

Cell and atoms, written as POSCAR:
```
Nb3P6WO24
1.0
-3.069 8.033 1.646
-2.559 2.135 8.097
5.044 5.711 4.822
Nb P W O
3 6 1 24
Cartesian
-2.685 11.156 10.413
-3.247 6.948 6.610
2.646 8.925 7.951
-1.980 5.520 9.460
-3.058 10.339 7.094
-1.002 6.227 4.119
0.422 9.619 10.484
2.490 5.527 7.426
1.380 10.406 5.114
2.072 4.714 4.146
0.174 12.923 12.589
1.234 10.752 11.131
-1.242 4.232 9.062
0.707 13.202 9.832
-2.201 6.378 8.205
-1.138 6.341 10.444
-3.278 10.621 8.588
-2.735 8.848 6.909
-1.668 6.670 5.431
-0.996 10.102 10.148
0.383 8.441 11.462
1.304 4.721 7.972
-1.866 11.144 6.563
-0.966 7.418 3.149
0.420 5.761 4.453
1.092 9.178 9.171
2.170 7.021 7.613
2.716 5.233 5.940
0.551 9.578 4.123
1.606 9.547 6.371
-1.281 2.658 4.703
0.649 11.695 5.499
-1.822 5.108 3.467
-0.772 2.990 1.972
```

ΔE_f (raw)	-2.496	eV/atom
V	495.8	Å³ per cell
total magnetic moment	3.00	μB per cell